P) Compound: Dy12GaNi6
Source: Alexandria via LeMat-Bulk
Functional: PBE-GGA
Structure: relaxed

Structure (CIF):
```
data_Dy12GaNi6
_chemical_formula_sum 'Dy24 Ga2 Ni12'
_cell_length_a 9.6420
_cell_length_b 9.6420
_cell_length_c 9.6420
_cell_angle_alpha 90.00
_cell_angle_beta 90.00
_cell_angle_gamma 90.00
_space_group_name_H-M_alt 'I m -3'
_space_group_IT_number 204
_space_group_name_Hall '-I 2 2 3'
loop_
_atom_site_label
_atom_site_fract_x
_atom_site_fract_y
_atom_site_fract_z
_atom_site_occupancy
Dy1 0.0000 0.1864 0.3011 1
Ga1 0.0000 0.0000 0.0000 1
Ni1 0.0000 0.3755 0.5000 1
```

Q) Compound: Dy12GaNi6
Source: Alexandria via LeMat-Bulk
Functional: PBE-GGA
Structure: relaxed

Structure (CIF):
```
data_Dy12GaNi6
_chemical_formula_sum 'Dy36 Ga3 Ni18'
_cell_length_a 13.6378
_cell_length_b 13.6378
_cell_length_c 8.7138
_cell_angle_alpha 90.00
_cell_angle_beta 90.00
_cell_angle_gamma 120.00
_space_group_name_H-M_alt 'R -3'
_space_group_IT_number 148
_space_group_name_Hall '-R 3'
loop_
_atom_site_label
_atom_site_fract_x
_atom_site_fract_y
_atom_site_fract_z
_atom_site_occupancy
Dy1 0.0382 0.2525 0.4286 1
Dy2 0.0597 0.1801 0.8308 1
Ga1 0.0000 0.0000 0.5000 1
Ni1 0.0717 0.5006 0.7856 1
```

Which of them is the most stable? Correct choice: P).